1.
VASP calculation (PBE) on a geometry-optimized Sr3Bi2O7 structure.

```
12
Lattice="-2.192 2.192 10.752 2.192 -2.192 10.752 2.192 2.192 -10.752" Properties=species:S:1:pos:R:3 pbc="T T T"
Sr 0.000 0.000 0.000
Sr 0.000 0.000 3.994
Sr 0.000 0.000 17.511
Bi 0.000 0.000 8.525
Bi 0.000 0.000 12.980
O 2.192 0.000 2.196
O 0.000 0.000 6.342
O 2.192 0.000 8.556
O 0.000 0.000 10.752
O 0.000 2.192 2.196
O 0.000 0.000 15.163
O 0.000 2.192 8.556
```

## Properties
Energy relative to the elements, uncorrected ... -1.8878 eV/atom
Volume ... 206.7 Å³ per cell
VASP energy ... -70.17 eV per cell

2.
VASP calculation (PBE) on a geometry-optimized Sr5Bi3O structure.

```
18
Lattice="-4.460 4.460 7.762 4.460 -4.460 7.762 4.460 4.460 -7.762" Properties=species:S:1:pos:R:3 pbc="T T T"
Sr 0.000 0.000 0.000
Sr 3.151 -1.309 2.381
Sr 5.769 -1.309 5.381
Sr 5.769 1.309 2.381
Sr 3.151 1.309 5.381
Sr 0.000 0.000 7.762
Sr 1.309 3.151 2.381
Sr -1.309 3.151 5.381
Sr -1.309 5.769 2.381
Sr 1.309 5.769 5.381
Bi 3.169 1.291 0.000
Bi 0.000 0.000 3.881
Bi 3.169 -1.291 7.762
Bi 1.291 5.751 0.000
Bi 0.000 0.000 11.644
Bi 1.291 3.169 7.762
O 4.460 0.000 3.881
O 0.000 4.460 3.881
```

## Properties
Energy relative to the elements, uncorrected ... -1.3325 eV/atom
Volume ... 617.6 Å³ per cell
VASP energy ... -74.01 eV per cell

3.
VASP calculation (PBE) on a geometry-optimized Sr7Bi3O2 structure.

```
12
Lattice="-2.535 2.535 14.546 2.535 -2.535 14.546 2.535 2.535 -14.546" Properties=species:S:1:pos:R:3 pbc="T T T"
Sr 0.000 0.000 0.000
Sr 2.535 0.000 2.745
Sr 0.000 0.000 5.906
Sr 2.535 0.000 11.801
Sr 0.000 2.535 2.745
Sr 0.000 0.000 23.186
Sr 0.000 2.535 11.801
Bi 0.000 0.000 9.338
Bi 0.000 0.000 14.546
Bi 0.000 0.000 19.754
O 0.000 0.000 2.524
O 0.000 0.000 26.568
```

## Properties
Energy relative to the elements, uncorrected ... -1.4805 eV/atom
Volume ... 373.9 Å³ per cell
VASP energy ... -51.10 eV per cell

4.
VASP calculation (PBE) on a geometry-optimized Sr3BiO structure.

```
5
Lattice="5.226 0.000 0.000 0.000 5.226 0.000 0.000 0.000 5.226" Properties=species:S:1:pos:R:3 pbc="T T T"
Sr 0.000 0.000 2.613
Sr 0.000 2.613 0.000
Sr 2.613 0.000 0.000
Bi 2.613 2.613 2.613
O 0.000 0.000 0.000
```

## Properties
Energy relative to the elements, uncorrected ... -1.4703 eV/atom
Volume ... 142.7 Å³ per cell
VASP energy ... -21.24 eV per cell
Energy relative to the lowest polymorph listed for this composition ... 0 meV per atom

5.
VASP calculation (PBE) on a geometry-optimized Sr2BiO structure.

```
16
Lattice="8.091 0.000 0.000 0.000 4.411 0.000 0.000 0.000 12.899" Properties=species:S:1:pos:R:3 pbc="T T T"
Sr 1.147 1.103 3.160
Sr 1.193 1.103 12.294
Sr 2.852 3.308 5.845
Sr 2.898 3.308 9.609
Sr 5.193 1.103 3.290
Sr 5.239 1.103 7.054
Sr 6.898 3.308 0.604
Sr 6.944 3.308 9.739
Bi 0.625 1.103 7.704
Bi 3.421 3.308 1.255
Bi 4.670 1.103 11.644
Bi 7.466 3.308 5.194
O 0.347 3.308 11.536
O 3.699 1.103 5.087
O 4.392 3.308 7.812
O 7.744 1.103 1.362
```

## Properties
Energy relative to the elements, uncorrected ... -1.6459 eV/atom
Volume ... 460.3 Å³ per cell
VASP energy ... -75.15 eV per cell
Energy relative to the lowest polymorph listed for this composition ... 0 meV per atom

6.
VASP calculation (PBE) on a geometry-optimized Sr2BiO structure.

```
12
Lattice="3.932 0.000 0.000 -1.966 3.405 0.000 0.000 0.000 23.794" Properties=species:S:1:pos:R:3 pbc="T T T"
Sr 0.000 0.000 5.401
Sr 0.000 0.000 18.393
Sr 0.000 2.270 10.462
Sr 0.000 2.270 21.264
Sr 1.966 1.135 2.530
Sr 1.966 1.135 13.333
Bi 0.000 0.000 0.000
Bi 0.000 2.270 15.863
Bi 1.966 1.135 7.931
O 0.000 0.000 11.897
O 0.000 2.270 3.966
O 1.966 1.135 19.828
```

## Properties
Energy relative to the elements, uncorrected ... -1.5742 eV/atom
Volume ... 318.6 Å³ per cell
VASP energy ... -55.50 eV per cell
Energy relative to the lowest polymorph listed for this composition ... 72 meV per atom

7.
VASP calculation (PBE) on a geometry-optimized SrBi2O6 structure.

```
9
Lattice="6.500 0.000 0.000 -3.250 5.630 0.000 0.000 0.000 3.199" Properties=species:S:1:pos:R:3 pbc="T T T"
Sr 0.000 0.000 0.000
Bi 0.000 3.753 0.793
Bi 3.250 1.877 2.405
O -1.558 3.964 2.381
O 0.597 2.298 2.381
O 2.289 0.632 0.818
O 0.962 4.997 2.381
O 2.654 3.331 0.818
O 4.808 1.666 0.818
```

## Properties
Energy relative to the elements, uncorrected ... -1.0942 eV/atom
Volume ... 117.1 Å³ per cell
VASP energy ... -49.04 eV per cell

8.
VASP calculation (PBE) on a geometry-optimized Sr2BiO structure.

```
4
Lattice="3.473 0.000 0.000 0.000 3.473 0.000 0.000 0.000 8.055" Properties=species:S:1:pos:R:3 pbc="T T T"
Sr 0.000 0.000 1.550
Sr 0.000 0.000 6.505
Bi 1.737 1.737 4.027
O 1.737 1.737 0.000
```

## Properties
Energy relative to the elements, uncorrected ... -1.3122 eV/atom
Volume ... 97.2 Å³ per cell
VASP energy ... -17.45 eV per cell
Energy relative to the lowest polymorph listed for this composition ... 334 meV per atom

9.
VASP calculation (PBE) on a geometry-optimized SrBi2O4 structure.

```
14
Lattice="3.203 -4.929 0.000 3.203 4.929 0.000 0.000 0.000 8.401" Properties=species:S:1:pos:R:3 pbc="T T T"
Sr 0.000 0.000 2.100
Sr 0.000 0.000 6.301
Bi 3.164 1.878 0.000
Bi 3.241 1.878 4.201
Bi 3.164 -1.878 4.201
Bi 3.241 -1.878 0.000
O 1.601 2.464 1.510
O 1.601 2.464 6.892
O 0.836 1.163 4.201
O 0.836 -1.163 0.000
O 1.601 -2.464 2.691
O 1.601 -2.464 5.710
O 5.570 1.163 0.000
O 5.570 -1.163 4.201
```

## Properties
Energy relative to the elements, uncorrected ... -1.5845 eV/atom
Volume ... 265.2 Å³ per cell
VASP energy ... -80.74 eV per cell

10.
VASP calculation (PBE) on a geometry-optimized SrBi2O structure.

```
16
Lattice="6.213 0.000 0.000 0.000 6.213 0.000 0.000 0.000 14.081" Properties=species:S:1:pos:R:3 pbc="T T T"
Sr 0.000 0.000 0.000
Sr 0.000 3.106 3.520
Sr 3.106 0.000 10.560
Sr 3.106 3.106 7.040
Bi 0.216 4.660 8.800
Bi 1.553 0.216 5.280
Bi 1.553 2.891 12.321
Bi 2.891 4.660 1.760
Bi 3.322 1.553 1.760
Bi 4.660 3.322 12.321
Bi 4.660 5.997 5.280
Bi 5.997 1.553 8.800
O 0.000 0.000 7.040
O 0.000 3.106 10.560
O 3.106 0.000 3.520
O 3.106 3.106 0.000
```

## Properties
Energy relative to the elements, uncorrected ... -0.5285 eV/atom
Volume ... 543.5 Å³ per cell
VASP energy ... -66.06 eV per cell

11.
VASP calculation (PBE) on a geometry-optimized Sr4BiO structure.

```
12
Lattice="6.950 0.000 0.000 -3.466 7.506 0.000 -0.008 -2.213 8.053" Properties=species:S:1:pos:R:3 pbc="T T T"
Sr -0.716 0.557 3.614
Sr 0.702 -0.547 7.640
Sr -0.367 2.884 6.947
Sr 0.367 3.987 2.914
Sr 3.109 1.307 5.139
Sr 3.842 2.409 1.106
Sr 2.773 5.840 0.412
Sr 4.191 4.736 4.439
Bi 2.331 -0.546 2.020
Bi 1.144 5.839 6.033
O -1.737 2.647 4.026
O 1.742 3.753 0.000
```

## Properties
Energy relative to the elements, uncorrected ... -1.0601 eV/atom
Volume ... 420.1 Å³ per cell
VASP energy ... -43.85 eV per cell

12.
VASP calculation (PBE) on a geometry-optimized Sr8Bi5O structure.

```
14
Lattice="-4.930 4.930 5.269 4.930 -4.930 5.269 4.930 4.930 -5.269" Properties=species:S:1:pos:R:3 pbc="T T T"
Sr 3.094 -0.837 0.914
Sr 4.460 2.558 -2.254
Sr 6.766 0.837 0.914
Sr 5.767 -1.836 4.355
Sr 0.470 2.372 3.015
Sr 4.093 1.836 4.355
Sr 2.372 -0.470 7.523
Sr 2.558 5.400 2.254
Bi 0.000 0.000 0.000
Bi 2.469 -1.306 4.172
Bi 3.624 2.461 1.097
Bi 2.461 6.236 -1.097
Bi 1.306 2.469 6.366
O 0.000 4.930 2.635
```

## Properties
Energy relative to the elements, uncorrected ... -1.0302 eV/atom
Volume ... 512.3 Å³ per cell
VASP energy ... -52.24 eV per cell